(1)
VASP calculation (GGA-PBE) on a relaxed structure of TmThAs2.

Computed properties:
Formation energy from the elements in eV per atom: -1.2856
Offset from the most stable computed form in meV/atom: 158

a b c (Å): 4.1169 4.1169 21.3037
angles (deg): 90.00 90.00 120.00
With the nearest neighbours (Å) after each atom.
Space group R3m (No. 160, hexagonal axes)
Asymmetric unit:
Tm  0.0000  0.0000  0.0000 (multiplicity 3)  6 As 2.88-2.99
Th  0.0000  0.0000  0.1738 (multiplicity 3)  6 As 2.97-3.03
As  0.0000  0.0000  0.5904 (multiplicity 3)  3 Tm 2.88, 3 Th 2.97
As  0.0000  0.0000  0.7519 (multiplicity 3)  3 Tm 2.99, 3 Th 3.03

***

(2)
VASP calculation (GGA-PBE) on a relaxed structure of Tm2ThAs.

Computed properties:
Formation energy from the elements in eV per atom: -0.5627

a b c (Å): 3.6757 3.6757 7.6630
angles (deg): 90.00 90.00 90.00
With the nearest neighbours (Å) after each atom.
Space group P4/mmm (No. 123)
Asymmetric unit:
Tm  0.0000  0.0000  0.2035 (multiplicity 2)  4 As 3.03, 1 Tm 3.12
Th  0.5000  0.5000  0.5000 (multiplicity 1)  8 Tm 3.45, 4 Th 3.68, 2 As 3.83
As  0.5000  0.5000  0.0000 (multiplicity 1)  8 Tm 3.03

***

(3)
VASP calculation (GGA-PBE) on a relaxed structure of TmTh3As4.

Computed properties:
Formation energy from the elements in eV per atom: -1.4150

a b c (Å): 7.2909 8.4032 7.3001
angles (deg): 90.00 109.31 90.00
With the nearest neighbours (Å) after each atom.
Space group P2/c (No. 13)
Asymmetric unit:
Tm  0.0000  0.1238  0.2500 (multiplicity 2)  6 As 2.92-2.93
Th  0.0000  0.3738  0.7500 (multiplicity 2)  6 As 2.98-2.99
Th  0.5000  0.1246  0.7500 (multiplicity 2)  6 As 2.97-3.03
Th  0.5000  0.3742  0.2500 (multiplicity 2)  6 As 2.97-3.04
As  0.2415  0.1202  0.0005 (multiplicity 4)  2 Tm 2.92, 4 Th 2.97-3.03
As  0.2456  0.3701  0.4948 (multiplicity 4)  1 Tm 2.93, 5 Th 2.97-3.04

***

Please write out number 3 again, unchanged.
VASP calculation (GGA-PBE) on a relaxed structure of TmTh3As4.

Computed properties:
Formation energy from the elements in eV per atom: -1.4150

a b c (Å): 7.2909 8.4032 7.3001
angles (deg): 90.00 109.31 90.00
With the nearest neighbours (Å) after each atom.
Space group P2/c (No. 13)
Asymmetric unit:
Tm  0.0000  0.1238  0.2500 (multiplicity 2)  6 As 2.92-2.93
Th  0.0000  0.3738  0.7500 (multiplicity 2)  6 As 2.98-2.99
Th  0.5000  0.1246  0.7500 (multiplicity 2)  6 As 2.97-3.03
Th  0.5000  0.3742  0.2500 (multiplicity 2)  6 As 2.97-3.04
As  0.2415  0.1202  0.0005 (multiplicity 4)  2 Tm 2.92, 4 Th 2.97-3.03
As  0.2456  0.3701  0.4948 (multiplicity 4)  1 Tm 2.93, 5 Th 2.97-3.04

***

- Which formula does entry 2 have?
  Tm2ThAs

***

- What is the formation energy from the elements in the first record?
  -1.2856 eV per atom

***

- Which of these has the lowest formation energy from the elements?
  TmTh3As4